(1)
The following is a PBE-GGA calculation of an optimized crystal structure of Hf2ZrPa, from the Alexandria database.

Calculated values
Its energy relative to the lowest polymorph listed for this composition is 0.0 meV/atom. The total energy comes out at -37.79 eV per cell.

POSCAR file:
```
Hf2ZrPa
1.0
-1.663 2.541 -0.946
-2.389 1.095 1.791
5.429 7.558 5.433
Hf Zr Pa
2 1 1
Direct
0.082 0.082 0.754 Hf
0.251 0.251 0.246 Hf
0.667 0.667 0.000 Zr
0.500 0.500 0.500 Pa
```

(2)
The following is a PBE-GGA calculation of an optimized crystal structure of Li2YCo, from the Alexandria database.

Calculated values
Its energy relative to the lowest polymorph listed for this composition is 17.5 meV/atom. The total energy comes out at -16.96 eV per cell.

POSCAR file:
```
Li2YCo
1.0
-1.710 -2.860 -0.252
0.851 -0.226 -3.204
6.432 -3.715 -1.487
Co Li Y
1 2 1
Direct
0.500 0.722 0.777 Co
0.000 0.024 0.976 Li
0.500 0.313 0.187 Li
0.000 0.441 0.559 Y
```

(3)
The following is a PBE-GGA calculation of an optimized crystal structure of SrV3Zn, from the Alexandria database.

Calculated values
Its energy relative to the lowest polymorph listed for this composition is 1278.8 meV/atom. The total energy comes out at -18.28 eV per cell.

POSCAR file:
```
SrV3Zn
1.0
4.541 0.000 0.000
0.000 4.541 0.000
0.000 0.000 4.541
Sr Zn V
1 1 3
Direct
0.000 0.000 0.000 Sr
0.500 0.500 0.500 Zn
0.000 0.500 0.000 V
0.000 0.000 0.500 V
0.500 0.000 0.000 V
```